Entry 1:
VASP calculation (PBE-GGA) on a relaxed Si3Pt crystal.

size of the total moment = 0.00 μB per cell

abc: 4.9671 4.9671 4.9671
angles: 90.00 90.00 90.00
Last column: nearest neighbours and their distance in Å.
Sites, in units of the cell vectors:
Pt: 0.0000 0.0000 0.0000  12 Si 2.78
Si: 0.0000 0.2500 0.5000  2 Si 2.48, 4 Pt 2.78
Si: 0.5000 0.0000 0.7500  2 Si 2.48, 4 Pt 2.78
Si: 0.5000 0.0000 0.2500  2 Si 2.48, 4 Pt 2.78
Pt: 0.5000 0.5000 0.5000  12 Si 2.78
Si: 0.0000 0.7500 0.5000  2 Si 2.48, 4 Pt 2.78
Si: 0.7500 0.5000 0.0000  2 Si 2.48, 4 Pt 2.78
Si: 0.2500 0.5000 0.0000  2 Si 2.48, 4 Pt 2.78

***

Entry 2:
VASP calculation (PBE-GGA) on a relaxed KRh2Se crystal.

size of the total moment = 0.00 μB per cell

abc: 3.9780 4.2408 4.2408
angles: 90.00 90.00 90.00
Last column: nearest neighbours and their distance in Å.
Sites, in units of the cell vectors:
Rh: 0.0000 0.5000 0.5000  4 K 2.91, 4 Se 2.91, 4 Rh 3.00
K: 0.5000 0.0000 0.5000  8 Rh 2.91, 4 Se 3.00
Se: 0.5000 0.5000 0.0000  8 Rh 2.91, 4 K 3.00
Rh: 0.0000 0.0000 0.0000  4 K 2.91, 4 Se 2.91, 4 Rh 3.00

***

Entry 3:
VASP calculation (PBE-GGA) on a relaxed Al5Si2Ni crystal.

size of the total moment = 0.00 μB per cell

abc: 8.0312 8.0312 8.0312
angles: 151.56 151.56 40.66
Last column: nearest neighbours and their distance in Å.
Sites, in units of the cell vectors:
Al: 0.1209 0.6209 0.5000  2 Ni 2.69, 6 Al 2.69-2.79, 4 Si 2.72-2.83
Al: 0.3791 0.8791 0.5000  2 Ni 2.69, 6 Al 2.69-2.79, 4 Si 2.72-2.83
Si: 0.7448 0.7448 0.0000  8 Al 2.72-2.83, 4 Si 2.79
Al: 0.6209 0.1209 0.5000  2 Ni 2.69, 6 Al 2.69-2.79, 4 Si 2.72-2.83
Al: 0.5000 0.5000 0.0000  8 Al 2.69, 4 Ni 2.79
Si: 0.2552 0.2552 0.0000  8 Al 2.72-2.83, 4 Si 2.79
Al: 0.8791 0.3791 0.5000  2 Ni 2.69, 6 Al 2.69-2.79, 4 Si 2.72-2.83
Ni: 0.0000 0.0000 0.0000  12 Al 2.69-2.79

***

Number 1: formation energy from raw total energies 0.27 eV/atom. Number 2: formation energy from raw total energies 0.47 eV/atom. Number 3: formation energy from raw total energies -0.01 eV/atom.